Record 1
Pa3Ge4Ru4: relaxed, GGA-PBE.

Structure (extended XYZ):
```
11
Lattice="-2.045 3.449 7.154 2.045 -3.449 7.154 2.045 3.449 -7.154" Properties=species:S:1:pos:R:3 pbc="T T T"
Pa 0.000 0.000 0.000
Pa 2.045 0.000 5.205
Pa 0.000 3.449 1.949
Ge 0.000 0.000 2.949
Ge 2.045 2.107 0.000
Ge 0.000 1.342 7.154
Ge 0.000 0.000 11.359
Ru 2.045 1.479 -2.482
Ru 2.045 1.479 2.482
Ru 0.000 1.970 4.673
Ru 0.000 1.970 9.636
```

Results
- Magnetic moment: 0.00 μB per formula unit
- SG: No. 71
- Formation enthalpy at 0 K: -590 meV/atom
- Total energy: -90.6 eV/cell

Record 2
Pa2GeSb2Ru4: relaxed, GGA-PBE.

Structure (extended XYZ):
```
9
Lattice="-3.154 3.154 4.610 3.154 -3.154 4.610 3.154 3.154 -4.610" Properties=species:S:1:pos:R:3 pbc="T T T"
Pa 0.000 0.000 1.778
Pa 0.000 0.000 7.442
Ge 0.000 0.000 4.610
Sb 3.154 0.000 2.305
Sb 0.000 3.154 2.305
Ru 1.427 1.427 0.000
Ru 1.727 -1.727 4.610
Ru -1.727 1.727 4.610
Ru 1.727 1.727 4.610
```

Results
- E_form (uncorrected): -51 meV/atom
- Magnetic moment: 0.00 μB per formula unit
- SG: No. 139
- Total energy: -69.4 eV/cell

Record 3
Pa3SiGe2Ru3: relaxed, GGA-PBE.

Structure (extended XYZ):
```
9
Lattice="6.868 0.000 0.000 -3.434 5.948 0.000 0.000 0.000 4.106" Properties=species:S:1:pos:R:3 pbc="T T T"
Pa -1.989 3.445 0.000
Pa 1.445 2.503 0.000
Pa 3.977 0.000 0.000
Si 0.000 0.000 0.000
Ge 0.000 3.965 2.053
Ge 3.434 1.983 2.053
Ru -0.822 1.423 2.053
Ru 1.643 0.000 2.053
Ru 2.613 4.525 2.053
```

Results
- E_form (uncorrected): -599 meV/atom
- Magnetic moment: 0.00 μB per formula unit
- SG: No. 189
- Total energy: -76.4 eV/cell

Record 4
Pa2SiGe2Ru5: relaxed, GGA-PBE.

Structure (extended XYZ):
```
20
Lattice="9.786 0.000 0.000 0.000 9.786 0.000 0.000 0.000 3.490" Properties=species:S:1:pos:R:3 pbc="T T T"
Pa 1.701 3.192 0.000
Pa 3.192 8.085 0.000
Pa 6.594 1.701 0.000
Pa 8.085 6.594 0.000
Si 0.000 0.000 0.000
Si 4.893 4.893 0.000
Ge 1.227 6.119 0.000
Ge 3.666 1.227 0.000
Ge 6.119 8.559 0.000
Ge 8.559 3.666 0.000
Ru 0.000 4.893 1.745
Ru 0.704 7.821 1.745
Ru 1.965 0.704 1.745
Ru 2.928 5.597 1.745
Ru 4.189 2.928 1.745
Ru 4.893 0.000 1.745
Ru 5.597 6.858 1.745
Ru 6.858 4.189 1.745
Ru 7.821 9.082 1.745
Ru 9.082 1.965 1.745
```

Results
- E_form (uncorrected): -429 meV/atom
- Magnetic moment: 0.00 μB per formula unit
- SG: No. 127
- Total energy: -168.6 eV/cell

Record 5
Pa2Si2GeRu5: relaxed, GGA-PBE.

Structure (extended XYZ):
```
20
Lattice="9.746 0.000 0.000 0.000 9.746 0.000 0.000 0.000 3.461" Properties=species:S:1:pos:R:3 pbc="T T T"
Pa 1.719 3.154 0.000
Pa 3.154 8.027 0.000
Pa 6.592 1.719 0.000
Pa 8.027 6.592 0.000
Si 1.191 6.064 0.000
Si 3.682 1.191 0.000
Si 6.064 8.555 0.000
Si 8.555 3.682 0.000
Ge 0.000 0.000 0.000
Ge 4.873 4.873 0.000
Ru 0.000 4.873 1.730
Ru 0.714 7.705 1.730
Ru 2.041 0.714 1.730
Ru 2.832 5.587 1.730
Ru 4.159 2.832 1.730
Ru 4.873 0.000 1.730
Ru 5.587 6.914 1.730
Ru 6.914 4.159 1.730
Ru 7.705 9.032 1.730
Ru 9.032 2.041 1.730
```

Results
- E_form (uncorrected): -606 meV/atom
- Magnetic moment: 0.00 μB per formula unit
- SG: No. 127
- Total energy: -173.8 eV/cell

Record 6
Pa2Sn2GeRu4: relaxed, GGA-PBE.

Structure (extended XYZ):
```
9
Lattice="-3.182 3.182 4.515 3.182 -3.182 4.515 3.182 3.182 -4.515" Properties=species:S:1:pos:R:3 pbc="T T T"
Pa 0.000 0.000 1.721
Pa 0.000 0.000 7.309
Sn 3.182 0.000 2.258
Sn 0.000 3.182 2.258
Ge 0.000 0.000 4.515
Ru 1.455 1.455 0.000
Ru 1.727 -1.727 4.515
Ru -1.727 1.727 4.515
Ru 1.727 1.727 4.515
```

Results
- Magnetic moment: 0.00 μB per formula unit
- SG: No. 139
- Formation enthalpy at 0 K: -33 meV/atom
- Total energy: -69.0 eV/cell

Record 7
PaTcGeRu: relaxed, GGA-PBE.

Structure (extended XYZ):
```
4
Lattice="3.505 0.000 0.000 0.000 4.710 0.000 0.000 0.000 4.750" Properties=species:S:1:pos:R:3 pbc="T T T"
Pa 0.000 0.000 0.000
Tc 1.753 2.355 0.000
Ge 1.753 2.355 2.375
Ru 1.753 0.000 2.375
```

Results
- Magnetic moment: 0.00 μB per formula unit
- Relative energy among the computed polymorphs: 29.40 kJ per mole of atoms
- SG: No. 47
- Formation enthalpy at 0 K: -49 meV/atom
- Total energy: -34.0 eV/cell

Record 8
Pa3TcGe3Ru2: relaxed, GGA-PBE.

Structure (extended XYZ):
```
9
Lattice="7.105 0.000 0.000 -3.552 6.153 0.000 0.000 0.000 3.926" Properties=species:S:1:pos:R:3 pbc="T T T"
Pa -2.092 3.624 0.000
Pa 1.460 2.529 0.000
Pa 4.185 0.000 0.000
Tc 0.000 0.000 0.000
Ge -0.892 1.545 1.963
Ge 1.784 0.000 1.963
Ge 2.660 4.607 1.963
Ru 0.000 4.102 1.963
Ru 3.552 2.051 1.963
```

Results
- Magnetic moment: 0.00 μB per formula unit
- SG: No. 189
- Formation enthalpy at 0 K: -625 meV/atom
- Total energy: -76.9 eV/cell

Record 9
PaTcGeRu: relaxed, GGA-PBE.

Structure (extended XYZ):
```
16
Lattice="6.541 0.000 0.000 0.000 6.541 0.000 0.000 0.000 6.541" Properties=species:S:1:pos:R:3 pbc="T T T"
Pa 0.000 0.000 0.000
Pa 0.000 3.271 3.271
Pa 3.271 0.000 3.271
Pa 3.271 3.271 0.000
Tc 1.635 1.635 1.635
Tc 1.635 4.906 4.906
Tc 4.906 1.635 4.906
Tc 4.906 4.906 1.635
Ge 0.000 0.000 3.271
Ge 0.000 3.271 0.000
Ge 3.271 0.000 0.000
Ge 3.271 3.271 3.271
Ru 1.635 1.635 4.906
Ru 1.635 4.906 1.635
Ru 4.906 1.635 1.635
Ru 4.906 4.906 4.906
```

Results
- Magnetic moment: 0.00 μB per formula unit
- Relative energy among the computed polymorphs: 0.00 kJ per mole of atoms
- SG: No. 216
- Formation enthalpy at 0 K: -354 meV/atom
- Total energy: -140.7 eV/cell

Record 10
PaTcGe2Ru: relaxed, GGA-PBE.

Structure (extended XYZ):
```
10
Lattice="4.294 0.000 0.000 0.000 4.294 0.000 0.000 0.000 9.753" Properties=species:S:1:pos:R:3 pbc="T T T"
Pa 0.000 0.000 0.000
Pa 2.147 2.147 4.876
Tc 0.000 2.147 2.438
Tc 2.147 0.000 7.314
Ge 0.000 0.000 3.632
Ge 0.000 0.000 6.120
Ge 2.147 2.147 1.244
Ge 2.147 2.147 8.509
Ru 0.000 2.147 7.314
Ru 2.147 0.000 2.438
```

Results
- Magnetic moment: 0.00 μB per formula unit
- SG: No. 119
- Formation enthalpy at 0 K: -439 meV/atom
- Total energy: -81.1 eV/cell

Record 11
Tm2PaGe2Ru5: relaxed, GGA-PBE.

Structure (extended XYZ):
```
20
Lattice="9.941 0.000 0.000 0.000 9.941 0.000 0.000 0.000 3.546" Properties=species:S:1:pos:R:3 pbc="T T T"
Tm 1.682 3.288 0.000
Tm 3.288 8.259 0.000
Tm 6.653 1.682 0.000
Tm 8.259 6.653 0.000
Pa 0.000 0.000 0.000
Pa 4.970 4.970 0.000
Ge 1.260 6.231 0.000
Ge 3.710 1.260 0.000
Ge 6.231 8.681 0.000
Ge 8.681 3.710 0.000
Ru 0.000 4.970 1.773
Ru 0.698 7.898 1.773
Ru 2.043 0.698 1.773
Ru 2.928 5.669 1.773
Ru 4.272 2.928 1.773
Ru 4.970 0.000 1.773
Ru 5.669 7.013 1.773
Ru 7.013 4.272 1.773
Ru 7.898 9.243 1.773
Ru 9.243 2.043 1.773
```

Results
- Magnetic moment: 0.00 μB per formula unit
- SG: No. 127
- Formation enthalpy at 0 K: -593 meV/atom
- Total energy: -160.0 eV/cell

Record 12
TmPaGeRu: relaxed, GGA-PBE.

Structure (extended XYZ):
```
16
Lattice="6.953 0.000 0.000 0.000 6.953 0.000 0.000 0.000 6.953" Properties=species:S:1:pos:R:3 pbc="T T T"
Tm 0.000 0.000 0.000
Tm 0.000 3.476 3.476
Tm 3.476 0.000 3.476
Tm 3.476 3.476 0.000
Pa 0.000 0.000 3.476
Pa 0.000 3.476 0.000
Pa 3.476 0.000 0.000
Pa 3.476 3.476 3.476
Ge 1.738 1.738 5.214
Ge 1.738 5.214 1.738
Ge 5.214 1.738 1.738
Ge 5.214 5.214 5.214
Ru 1.738 1.738 1.738
Ru 1.738 5.214 5.214
Ru 5.214 1.738 5.214
Ru 5.214 5.214 1.738
```

Results
- Magnetic moment: 0.00 μB per formula unit
- SG: No. 216
- Formation enthalpy at 0 K: -329 meV/atom
- Total energy: -116.7 eV/cell

Question: Which formula does entry 6 have?
Answer: Pa2Sn2GeRu4

Please write out number 3 again, unchanged.
Pa3SiGe2Ru3: relaxed, GGA-PBE.

Structure (extended XYZ):
```
9
Lattice="6.868 0.000 0.000 -3.434 5.948 0.000 0.000 0.000 4.106" Properties=species:S:1:pos:R:3 pbc="T T T"
Pa -1.989 3.445 0.000
Pa 1.445 2.503 0.000
Pa 3.977 0.000 0.000
Si 0.000 0.000 0.000
Ge 0.000 3.965 2.053
Ge 3.434 1.983 2.053
Ru -0.822 1.423 2.053
Ru 1.643 0.000 2.053
Ru 2.613 4.525 2.053
```

Results
- E_form (uncorrected): -599 meV/atom
- Magnetic moment: 0.00 μB per formula unit
- SG: No. 189
- Total energy: -76.4 eV/cell